Here is crystalline YMg2GeN at its relaxed geometry from Alexandria. Energies are from PBE.

Values from the calculation:
**Final energy**: -5.31 eV/atom
**Formation energy (no corrections)**: -790 meV/atom
**Spin magnetization**: 0.00 μB/f.u.

a = 4.281 Å, b = 4.281 Å, c = 4.769 Å
α = 90.00°, β = 90.00°, γ = 90.00°
Atoms (fractional coordinates):
Y1 0.000 0.000 0.000
Mg1 0.000 0.500 0.500
Mg2 0.500 0.000 0.500
Ge1 0.500 0.500 0.000
N1 0.000 0.000 0.500

Here is crystalline ScGeS2Cl at its relaxed geometry from Alexandria. Energies are from PBE.

Values from the calculation:
**Final energy**: -4.54 eV/atom
**Formation energy (no corrections)**: -328 meV/atom
**Spin magnetization**: 0.66 μB/f.u.

a = 4.808 Å, b = 4.808 Å, c = 4.728 Å
α = 90.00°, β = 90.00°, γ = 90.00°
Atoms (fractional coordinates):
Sc1 0.000 0.000 0.000
Ge1 0.500 0.500 0.500
S1 0.000 0.500 0.500
S2 0.500 0.000 0.500
Cl1 0.500 0.500 0.000

Here is crystalline Ta5Tc2Mo at its relaxed geometry from Alexandria. Energies are from PBE.

Values from the calculation:
**Energy relative to the elements**: -1.51 eV per formula unit
**Final energy**: -11.54 eV/atom
**Spin magnetization**: 0.00 μB/f.u.

a = 5.522 Å, b = 10.776 Å, c = 4.582 Å
α = 90.00°, β = 90.00°, γ = 90.00°
Atoms (fractional coordinates):
Ta1 0.000 0.000 0.000
Ta2 0.156 0.261 0.000
Ta3 0.164 0.620 0.500
Ta4 0.336 0.120 0.500
Ta5 0.344 0.761 0.000
Ta6 0.500 0.500 0.000
Ta7 0.656 0.239 0.000
Ta8 0.664 0.880 0.500
Ta9 0.836 0.380 0.500
Ta10 0.844 0.739 0.000
Tc1 0.167 0.880 0.500
Tc2 0.333 0.380 0.500
Tc3 0.667 0.620 0.500
Tc4 0.833 0.120 0.500
Mo1 0.000 0.500 0.000
Mo2 0.500 0.000 0.000

Here is crystalline In2Ag8Au at its relaxed geometry from Alexandria. Energies are from PBE.

Values from the calculation:
**Energy relative to the elements**: -0.23 eV per formula unit
**Final energy**: -2.89 eV/atom
**Spin magnetization**: 0.00 μB/f.u.

a = 7.822 Å, b = 7.822 Å, c = 6.648 Å
α = 106.04°, β = 106.04°, γ = 32.08°
Atoms (fractional coordinates):
In1 0.223 0.223 0.147
In2 0.777 0.777 0.853
Ag1 0.043 0.043 0.229
Ag2 0.136 0.136 0.681
Ag3 0.322 0.322 0.590
Ag4 0.411 0.411 0.049
Ag5 0.589 0.589 0.951
Ag6 0.678 0.678 0.410
Ag7 0.864 0.864 0.319
Ag8 0.957 0.957 0.771
Au1 0.500 0.500 0.500

Here is crystalline NaTa3V at its relaxed geometry from Alexandria. Energies are from PBE.

Values from the calculation:
**Energy relative to the elements**: 6.51 eV per formula unit
**Final energy**: -7.90 eV/atom
**Spin magnetization**: 0.00 μB/f.u.

a = 4.750 Å, b = 4.750 Å, c = 4.750 Å
α = 90.00°, β = 90.00°, γ = 90.00°
Atoms (fractional coordinates):
Na1 0.000 0.000 0.000
Ta1 0.000 0.500 0.500
Ta2 0.500 0.000 0.500
Ta3 0.500 0.500 0.000
V1 0.500 0.500 0.500

Here is crystalline CaCuRh4 at its relaxed geometry from Alexandria. Energies are from PBE.

Values from the calculation:
**Energy relative to the elements**: 0.19 eV per formula unit
**Final energy**: -5.89 eV/atom
**Spin magnetization**: 0.84 μB/f.u.

a = 5.223 Å, b = 5.223 Å, c = 5.223 Å
α = 60.00°, β = 60.00°, γ = 60.00°
Atoms (fractional coordinates):
Ca1 0.000 0.000 0.000
Cu1 0.750 0.750 0.750
Rh1 0.375 0.375 0.375
Rh2 0.375 0.375 0.874
Rh3 0.375 0.874 0.375
Rh4 0.874 0.375 0.375